(1)
DFT (PBE) results for a relaxed structure of TaGaRu2.

It has space group I-42d (No. 122), with a = 6.749 Å, b = 6.749 Å, c = 5.854 Å, α = 90.00°, β = 90.00° and γ = 90.00°. The asymmetric unit holds Ta at (0.000, 0.000, 0.000), Ga at (0.000, 0.000, 0.500) and Ru at (0.246, 0.250, 0.625).

Its density of states at the Fermi level is 0.799 states/eV per atom. Its formation energy is 0.304 eV per atom. The energy comes out at -8.05 eV per atom.

***

(2)
DFT (PBE) results for a relaxed structure of Pm3IrPb2.

It has space group C2/c (No. 15), with a = 13.907 Å, b = 6.411 Å, c = 8.215 Å, α = 90.00°, β = 108.05° and γ = 90.00°. The asymmetric unit holds Pm at (0.000, 0.173, 0.250), Pm at (0.155, 0.404, 0.620), Ir at (0.000, 0.372, 0.750) and Pb at (0.154, 0.118, 0.016).

Its density of states at the Fermi level is 0.541 states/eV per atom. The value obtained for the distance to the lowest polymorph of the same formula is 0.130 eV per atom. Its formation energy is -0.466 eV per atom. The energy comes out at -5.55 eV per atom.

***

(3)
DFT (PBE) results for a relaxed structure of CaLaTl.

It has space group C2/m (No. 12), with a = 11.997 Å, b = 5.406 Å, c = 7.055 Å, α = 90.00°, β = 119.20° and γ = 90.00°. The asymmetric unit holds Ca at (0.185, 0.000, 0.119), La at (0.048, 0.500, 0.308) and Tl at (0.153, 0.000, 0.625).

Its density of states at the Fermi level is 0.293 states/eV per atom. The value obtained for the distance to the lowest polymorph of the same formula is 0.101 eV per atom. Its formation energy is -0.298 eV per atom. The energy comes out at -3.40 eV per atom.

***

(4)
DFT (PBE) results for a relaxed structure of PmSe2O8.

It has space group C2/m (No. 12), with a = 10.510 Å, b = 4.993 Å, c = 6.152 Å, α = 90.00°, β = 112.42° and γ = 90.00°. The asymmetric unit holds Pm at (0.000, 0.000, 0.000), Se at (0.208, 0.000, 0.686), O at (0.122, 0.500, 0.172), O at (0.126, 0.245, 0.774) and O at (0.169, 0.000, 0.397).

Its density of states at the Fermi level is 0.165 states/eV per atom. The value obtained for the raw formation energy is -1.069 eV/atom. The energy comes out at -5.74 eV per atom.

***

(5)
DFT (PBE) results for a relaxed structure of KGa5.

It has space group Cmmm (No. 65), with a = 4.330 Å, b = 13.020 Å, c = 4.744 Å, α = 90.00°, β = 90.00° and γ = 90.00°. The asymmetric unit holds K at (0.000, 0.000, 0.000), Ga at (0.000, 0.174, 0.500), Ga at (0.000, 0.312, 0.000) and Ga at (0.000, 0.500, 0.500).

Its density of states at the Fermi level is 0.293 states/eV per atom. The value obtained for the distance to the lowest polymorph of the same formula is 0.136 eV per atom. Its formation energy is 0.066 eV per atom. The energy comes out at -2.64 eV per atom.

***

(6)
DFT (PBE) results for a relaxed structure of RbCd3Cu.

It has space group Pm-3m (No. 221), with a = 5.240 Å, b = 5.240 Å, c = 5.240 Å, α = 90.00°, β = 90.00° and γ = 90.00°. The asymmetric unit holds Rb at (0.000, 0.000, 0.000), Cd at (0.000, 0.500, 0.500) and Cu at (0.500, 0.500, 0.500).

Its density of states at the Fermi level is 0.429 states/eV per atom. The value obtained for the distance to the lowest polymorph of the same formula is 0.000 eV per atom. Its formation energy is 0.039 eV per atom. The energy comes out at -1.52 eV per atom.

***

> Look up the energy of the first one.

-8.05 eV per atom

***

> Which of these has the highest energy?

RbCd3Cu

***

> What is the formula in the third record?

CaLaTl

***

> Look up the energy of the sixth one.

-1.52 eV per atom